First-principles (PBE) data for AcPrDy5 after structural relaxation, as listed in Alexandria.

a = 6.6823 Å, b = 6.6823 Å, c = 11.5967 Å
α = 103.46°, β = 103.46°, γ = 95.60°
Positions (direct):
Ac: 0.0000 0.5000 0.0000
Ac: 0.5000 0.0000 0.5000
Pr: 0.2341 0.7659 0.7500
Pr: 0.7659 0.2341 0.2500
Dy: 0.0513 0.2025 0.6664
Dy: 0.2025 0.0513 0.1664
Dy: 0.2287 0.4355 0.4648
Dy: 0.4247 0.5753 0.2500
Dy: 0.4355 0.2287 0.9648
Dy: 0.5645 0.7713 0.0352
Dy: 0.5753 0.4247 0.7500
Dy: 0.7713 0.5645 0.5352
Dy: 0.7975 0.9487 0.8336
Dy: 0.9487 0.7975 0.3336

## Properties
Formation energy from the elements in meV/atom: 94
Space group: C2/c